Below is CsSc3Co at its PBEsol-relaxed geometry, with properties calculated at the meta-GGA SCAN level.

Computed properties:
The formation energy comes out at 1780 meV/atom. The density of states at the Fermi level comes out at 4.02 states/eV/cell. For the total energy, the calculation gives -88.9 eV for the cell shown.

Geometry as CIF:
```
data_CsSc3Co
_symmetry_space_group_name_H-M 'P m -3 m'
_symmetry_Int_Tables_number 221
_symmetry_space_group_name_Hall '-P 4 2 3'
_cell_length_a 5.095
_cell_length_b 5.095
_cell_length_c 5.095
_cell_angle_alpha 90.00
_cell_angle_beta 90.00
_cell_angle_gamma 90.00
loop_
_atom_site_label
_atom_site_fract_x
_atom_site_fract_y
_atom_site_fract_z
_atom_site_occupancy
Cs1 0.000 0.000 0.000 1
Sc1 0.000 0.000 0.500 1
Co1 0.500 0.500 0.500 1
```

=====

Below is MnSi2Br at its PBEsol-relaxed geometry, with properties calculated at the meta-GGA SCAN level.

Computed properties:
For the uncorrected formation energy, the calculation gives 0.918 eV per atom. The energy above the most stable polymorph in this dataset comes out at 461.8 meV/atom. The density of states at the Fermi level comes out at 11.19 states/eV/cell. For the total energy, the calculation gives -216.3 eV for the cell shown.

Geometry as CIF:
```
data_MnSi2Br
_symmetry_space_group_name_H-M 'F m -3 m'
_symmetry_Int_Tables_number 225
_symmetry_space_group_name_Hall '-F 4 2 3'
_cell_length_a 6.459
_cell_length_b 6.459
_cell_length_c 6.459
_cell_angle_alpha 90.00
_cell_angle_beta 90.00
_cell_angle_gamma 90.00
loop_
_atom_site_label
_atom_site_fract_x
_atom_site_fract_y
_atom_site_fract_z
_atom_site_occupancy
Mn1 0.000 0.000 0.000 1
Si1 0.250 0.250 0.250 1
Br1 0.000 0.000 0.500 1
```

=====

Below is Tl2S at its PBEsol-relaxed geometry, with properties calculated at the meta-GGA SCAN level.

Computed properties:
For the uncorrected formation energy, the calculation gives -0.389 eV per atom. For the total energy, the calculation gives -466.5 eV for the cell shown.

Geometry as CIF:
```
data_Tl2S
_symmetry_space_group_name_H-M 'P 3'
_symmetry_Int_Tables_number 143
_symmetry_space_group_name_Hall 'P 3'
_cell_length_a 6.9732
_cell_length_b 6.9732
_cell_length_c 5.9193
_cell_angle_alpha 90.00
_cell_angle_beta 90.00
_cell_angle_gamma 120.00
loop_
_atom_site_label
_atom_site_fract_x
_atom_site_fract_y
_atom_site_fract_z
_atom_site_occupancy
Tl1 0.0026 0.7123 0.0000 1
Tl2 0.3770 0.0033 0.4443 1
S1 0.0000 0.0000 0.6217 1
S2 0.3333 0.6667 0.7621 1
S3 0.6667 0.3333 0.7721 1
```